DFT (PBE) results for a relaxed Na2SrHg9 crystal.

Cell: 4.773 4.773 14.099 Å, 90.00 90.00 90.00°
Positions (direct):
Na (0.000, 0.000, 0.161)
Na (0.000, 0.000, 0.839)
Sr (0.000, 0.000, 0.500)
Hg (0.000, 0.500, 0.000)
Hg (0.000, 0.500, 0.324)
Hg (0.000, 0.500, 0.676)
Hg (0.500, 0.000, 0.000)
Hg (0.500, 0.000, 0.324)
Hg (0.500, 0.000, 0.676)
Hg (0.500, 0.500, 0.165)
Hg (0.500, 0.500, 0.500)
Hg (0.500, 0.500, 0.835)

Calculated values
ΔE_f: -0.26 eV per atom
ρ: 10.023 Mg/m³
space group: P4/mmm
VASP energy: -0.84 eV/atom